DFT (PBE) results for a geometry-optimized FeRe3Bi structure.

abc: 4.531 4.531 4.531
angles: 90.00 90.00 90.00
Space group Pm-3m (No. 221)
Unique sites:
Fe  0.000  0.000  0.000 [1 per cell]
Re  0.000  0.000  0.500 [3 per cell]
Bi  0.500  0.500  0.500 [1 per cell]

Summary:
Energy of formation in eV per atom: 1.540
M_tot in μB per cell: 0.7
Raw total energy in hartree per atom: -0.3086